Entry 1:
Below is an optimized crystal structure of K4LiOs, with properties calculated at the PBE-GGA level.

Values from the calculation:
Formation enthalpy at 0 K = 1.22 eV/atom

Lattice parameters (Å, degrees): 7.0592 7.0592 7.0592 60.00 60.00 60.00
Closest atoms and distances in Å follow each position.
Positions (direct):
K 0.3732 0.8804 0.3732  6 K 3.48-3.58
K 0.3732 0.3732 0.3732  6 K 3.48-3.58
K 0.3732 0.3732 0.8804  6 K 3.48-3.58
K 0.8804 0.3732 0.3732  6 K 3.48-3.58
Os 0.0000 0.0000 0.0000  12 K 4.13, 4 Li 4.32
Li 0.7500 0.7500 0.7500  12 K 4.14, 4 Os 4.32



Entry 2:
Below is an optimized crystal structure of KLiOs4, with properties calculated at the PBE-GGA level.

Values from the calculation:
Formation enthalpy at 0 K = 0.98 eV/atom

Lattice parameters (Å, degrees): 5.3056 5.3056 5.3056 60.00 60.00 60.00
Closest atoms and distances in Å follow each position.
Positions (direct):
Li 0.0000 0.0000 0.0000  12 Os 3.11, 4 K 3.25
K 0.7500 0.7500 0.7500  12 Os 3.11, 4 Li 3.25
Os 0.8765 0.3745 0.3745  6 Os 2.64-2.66
Os 0.3745 0.3745 0.3745  6 Os 2.64-2.66
Os 0.3745 0.8765 0.3745  6 Os 2.64-2.66
Os 0.3745 0.3745 0.8765  6 Os 2.64-2.66



Entry 3:
Below is an optimized crystal structure of KLiOs2, with properties calculated at the PBE-GGA level.

Values from the calculation:
Formation enthalpy at 0 K = 1.17 eV/atom

Lattice parameters (Å, degrees): 2.9760 2.9760 8.0973 90.00 90.00 90.00
Closest atoms and distances in Å follow each position.
Positions (direct):
K 0.5000 0.5000 0.2500  4 K 2.98
Li 0.5000 0.5000 0.7500  8 Os 2.43
Os 0.0000 0.0000 0.8990  1 Os 2.41, 4 Li 2.43
Os 0.0000 0.0000 0.6010  1 Os 2.41, 4 Li 2.43